[1]
DFT (PBE) results for crystalline Zn2SiAg at its relaxed geometry.

```
4
Lattice="2.8163 0.0000 0.0000 0.0000 3.9498 0.0000 0.0000 0.0000 5.7242" Properties=species:S:1:pos:R:3 pbc="T T T"
Zn 0.0000 0.0000 0.0000
Zn 1.4082 1.9749 1.3716
Si 1.4082 1.9749 4.3624
Ag 0.0000 0.0000 2.8144
```

Values from the calculation:
Its space group is No. 25. The value obtained for the size of the total moment is 0.00 μB/atom. As for the uncorrected energy: -10.1 eV for the cell shown.

=====

[2]
DFT (PBE) results for crystalline Re2CICl at its relaxed geometry.

```
5
Lattice="5.0992 0.0000 0.0000 0.0000 5.0992 0.0000 0.0000 0.0000 4.2803" Properties=species:S:1:pos:R:3 pbc="T T T"
Re 0.0000 2.5496 0.0000
Re 2.5496 0.0000 0.0000
C 0.0000 0.0000 2.1401
I 0.0000 0.0000 0.0000
Cl 2.5496 2.5496 2.1401
```

Values from the calculation:
Its space group is No. 123. The value obtained for the size of the total moment is 1.05 μB/atom. As for the uncorrected energy: -21.2 eV for the cell shown.

=====

[3]
DFT (PBE) results for crystalline LiCa2Br at its relaxed geometry.

```
4
Lattice="0.0000 4.1126 4.1126 4.1126 0.0000 4.1126 4.1126 4.1126 0.0000" Properties=species:S:1:pos:R:3 pbc="T T T"
Li 0.0000 0.0000 0.0000
Ca 2.0563 2.0563 2.0563
Ca 4.1126 4.1126 4.1126
Br 6.1689 6.1689 6.1689
```

Values from the calculation:
Its space group is No. 216. For the energy above the most stable polymorph in this dataset, the calculation gives 544 meV/atom. The value obtained for the size of the total moment is 0.00 μB/atom.

=====

[4]
DFT (PBE) results for crystalline IrRu2W at its relaxed geometry.

```
4
Lattice="3.8826 0.0000 0.0000 0.0000 3.8826 0.0000 0.0000 0.0000 3.8535" Properties=species:S:1:pos:R:3 pbc="T T T"
Ir 0.0000 0.0000 0.0000
Ru 0.0000 1.9413 1.9268
Ru 1.9413 0.0000 1.9268
W 1.9413 1.9413 0.0000
```

Values from the calculation:
Its space group is No. 123. For the energy above the most stable polymorph in this dataset, the calculation gives 0 meV/atom. The value obtained for the size of the total moment is 0.00 μB/atom. As for the energy relative to the elements: -0.1787 eV per atom.

=====

[5]
DFT (PBE) results for crystalline Re3TcMo at its relaxed geometry.

```
10
Lattice="4.9907 0.0000 0.0000 -1.2003 4.8978 0.0000 -0.6468 -2.5564 6.4322" Properties=species:S:1:pos:R:3 pbc="T T T"
Re -0.1693 0.4915 1.2309
Re -0.0762 3.0549 1.1116
Re 0.8295 2.2477 3.6329
Re 2.3141 0.0937 2.7993
Re 3.2198 -0.7136 5.3206
Re 3.3129 1.8498 5.2013
Tc -0.3234 -1.2782 3.2161
Tc 2.4954 0.0000 0.0000
Mo 0.7528 -0.0091 5.1601
Mo 2.3908 2.3505 1.2721
```

Values from the calculation:
Its space group is No. 2. For the energy above the most stable polymorph in this dataset, the calculation gives 0 meV/atom. The value obtained for the size of the total moment is 0.00 μB/atom. As for the energy relative to the elements: 0.2803 eV per atom.

=====

[6]
DFT (PBE) results for crystalline Sm6CdRu2 at its relaxed geometry.

```
18
Lattice="-4.7720 4.8760 5.3085 4.7720 -4.8760 5.3085 4.7720 4.8760 -5.3085" Properties=species:S:1:pos:R:3 pbc="T T T"
Sm 4.7720 2.8992 -2.7818
Sm 2.7208 1.7846 0.0000
Sm 6.8233 1.7846 0.0000
Sm 1.7864 4.8760 -1.8382
Sm 2.9856 0.0000 3.4702
Sm 0.0000 1.9768 2.5266
Sm 4.7720 2.8992 2.7818
Sm 1.7864 4.8760 1.8382
Sm 2.9856 0.0000 7.1467
Sm -2.0513 3.0915 5.3085
Sm 2.0513 3.0915 5.3085
Sm 0.0000 1.9768 8.0903
Cd 0.0000 0.0000 0.0000
Cd 0.0000 0.0000 5.3085
Ru 4.7720 0.0000 1.3241
Ru 0.0000 3.1595 0.0000
Ru 0.0000 6.5925 0.0000
Ru 0.0000 4.8760 3.9844
```

Values from the calculation:
Its space group is No. 71. For the energy above the most stable polymorph in this dataset, the calculation gives 0 meV/atom. The value obtained for the size of the total moment is 0.00 μB/atom. As for the energy relative to the elements: -0.2590 eV per atom.

=====

[7]
DFT (PBE) results for crystalline YFeTe4 at its relaxed geometry.

```
6
Lattice="0.0000 4.4251 4.4251 4.4251 0.0000 4.4251 4.4251 4.4251 0.0000" Properties=species:S:1:pos:R:3 pbc="T T T"
Y 0.0000 0.0000 0.0000
Fe 6.6377 6.6377 6.6377
Te 3.3206 3.3206 3.3206
Te 5.5297 5.5297 3.3206
Te 5.5297 3.3206 5.5297
Te 3.3206 5.5297 5.5297
```

Values from the calculation:
Its space group is No. 216. The value obtained for the size of the total moment is 0.49 μB/atom. As for the uncorrected energy: -24.4 eV for the cell shown.

=====

[8]
DFT (PBE) results for crystalline LiBC at its relaxed geometry.

```
6
Lattice="4.6461 -1.4591 0.0000 4.6461 1.4591 0.0000 -1.3800 0.0000 4.0089" Properties=species:S:1:pos:R:3 pbc="T T T"
Li 0.0000 0.0000 0.0000
Li 1.2534 0.0000 2.3939
B 3.6781 0.0000 2.1880
B 6.8422 0.0000 0.4644
C 4.6267 0.0000 3.3683
C 7.7888 0.0000 1.6268
```

Values from the calculation:
Its space group is No. 8. The value obtained for the size of the total moment is 0.00 μB/atom. As for the energy relative to the elements: -0.0613 eV per atom.

=====

[9]
DFT (PBE) results for crystalline CeNp2UAs4 at its relaxed geometry.

```
8
Lattice="7.1406 0.0000 0.0000 0.0000 4.1014 0.0000 -2.3555 0.0000 6.7883" Properties=species:S:1:pos:R:3 pbc="T T T"
Ce 0.0000 0.0000 0.0000
Np -1.1778 2.0507 3.3941
Np 2.3925 0.0000 3.3941
U 3.5703 2.0507 0.0000
As 0.0503 0.0000 5.0907
As 1.2339 2.0507 1.7180
As 3.5512 2.0507 5.0703
As 4.7347 0.0000 1.6976
```

Values from the calculation:
Its space group is No. 10. The value obtained for the size of the total moment is 0.79 μB/atom. As for the energy relative to the elements: -0.8517 eV per atom.

=====

[10]
DFT (PBE) results for crystalline Ac6Ag3Ir2Rh at its relaxed geometry.

```
12
Lattice="3.7996 -6.5668 0.0000 3.7996 6.5668 0.0000 -2.5259 0.0000 7.7335" Properties=species:S:1:pos:R:3 pbc="T T T"
Ac 0.0024 2.1964 6.1150
Ac 1.2578 0.0000 1.6206
Ac 0.0024 -2.1964 6.1150
Ac 5.0709 2.1964 1.6185
Ac 3.8155 0.0000 6.1129
Ac 5.0709 -2.1964 1.6185
Ag -1.2630 0.0000 3.8667
Ag 2.5367 2.1875 3.8667
Ag 2.5367 -2.1875 3.8667
Ir 3.7996 4.3778 0.0000
Ir 3.7996 -4.3778 0.0000
Rh 3.7996 0.0000 0.0000
```

Values from the calculation:
Its space group is No. 12. The value obtained for the size of the total moment is 0.00 μB/atom. As for the energy relative to the elements: -0.4933 eV per atom.

=====

[11]
DFT (PBE) results for crystalline Cr2NiMo at its relaxed geometry.

```
4
Lattice="2.4981 0.0000 0.0000 0.0000 3.8428 0.0000 0.0000 0.0000 5.2822" Properties=species:S:1:pos:R:3 pbc="T T T"
Cr 0.0000 0.0000 0.0000
Cr 1.2490 1.9214 1.2324
Ni 1.2490 1.9214 4.0322
Mo 0.0000 0.0000 2.6668
```

Values from the calculation:
Its space group is No. 25. The value obtained for the size of the total moment is 0.00 μB/atom. As for the energy relative to the elements: 0.2176 eV per atom.